# DyThSb2

An optimized crystal structure of DyThSb2 (PBE-GGA, the Alexandria database).

```
data_DyThSb2
_symmetry_space_group_name_H-M 'P 1'
_symmetry_Int_Tables_number 1
_symmetry_space_group_name_Hall 'P 1'
_cell_length_a 5.589
_cell_length_b 5.589
_cell_length_c 3.573
_cell_angle_alpha 90.00
_cell_angle_beta 90.00
_cell_angle_gamma 90.00
loop_
_atom_site_label
_atom_site_fract_x
_atom_site_fract_y
_atom_site_fract_z
Dy1 0.000 0.000 0.000
Th1 0.500 0.500 0.000
Sb1 0.000 0.500 0.500
Sb2 0.500 0.000 0.500
```

Final energy = -5.8620 eV/atom
Crystal system = tetragonal
Magnetic moment = 0.00 μB/cell
Relative energy among the computed polymorphs = 0.228 eV/atom
Formation energy (no corrections) = -0.795 eV per atom